Compound: PrScIn3
Source: the Alexandria database
Functional: PBE
Structure: relaxed

The structure in extended XYZ format:
```
10
Lattice="7.121 0.000 0.000 -3.561 6.167 0.000 0.000 0.000 6.316" Properties=species:S:1:pos:R:3 pbc="T T T"
Pr 0.000 4.111 1.579
Pr 3.561 2.056 4.737
Sc 0.000 0.000 0.000
Sc 0.000 0.000 3.158
In 0.000 2.433 4.737
In -1.454 4.951 4.737
In 2.107 1.216 1.579
In 1.454 4.951 4.737
In 5.014 1.216 1.579
In 3.561 3.734 1.579
```

Output
theoretical density = 6.35 g/cm3
E_form = -312 meV per atom
crystal system = hexagonal
magnetization = 0.00 μB per formula unit


Compound: Nd5H
Source: the Alexandria database
Functional: PBE
Structure: relaxed

The structure in extended XYZ format:
```
6
Lattice="6.529 0.000 0.000 -3.264 5.654 0.000 0.000 0.000 6.097" Properties=species:S:1:pos:R:3 pbc="T T T"
Nd -1.632 2.827 0.000
Nd 0.000 3.769 3.049
Nd 3.264 0.000 0.000
Nd 1.632 2.827 0.000
Nd 3.264 1.885 3.049
H 0.000 0.000 3.049
```

Output
theoretical density = 5.33 g/cm3
crystal system = hexagonal
energy = -3.578 eV/atom
magnetization = 1.00 μB per formula unit


Compound: PmSm2Pb2
Source: the Alexandria database
Functional: PBE
Structure: relaxed

The structure in extended XYZ format:
```
10
Lattice="5.238 0.000 0.000 -2.619 4.537 0.000 0.000 0.000 13.206" Properties=species:S:1:pos:R:3 pbc="T T T"
Pm 0.000 0.000 3.302
Pm 0.000 0.000 9.905
Sm 0.000 0.000 0.000
Sm 0.000 0.000 6.603
Sm 0.000 3.024 3.302
Sm 2.619 1.512 9.905
Pb 0.000 3.024 8.212
Pb 0.000 3.024 11.597
Pb 2.619 1.512 1.609
Pb 2.619 1.512 4.994
```

Output
theoretical density = 9.10 g/cm3
excess energy over the best structure of this formula in the dataset = 4.051 kcal/mol of atoms
E_form = -160 meV per atom
crystal system = hexagonal
magnetization = 0.00 μB per formula unit


Compound: B2MoAuN
Source: the Alexandria database
Functional: PBE
Structure: relaxed

The structure in extended XYZ format:
```
5
Lattice="3.821 0.000 0.000 0.000 3.821 0.000 0.000 0.000 3.984" Properties=species:S:1:pos:R:3 pbc="T T T"
B 0.000 1.910 0.000
B 1.910 0.000 0.000
Mo 0.000 0.000 1.992
Au 1.910 1.910 1.992
N 1.910 1.910 0.000
```

Output
theoretical density = 9.38 g/cm3
uncorrected formation energy = 1.825 eV/atom
crystal system = tetragonal
magnetization = 0.00 μB per formula unit


Compound: Te3S2Cl2
Source: the Alexandria database
Functional: PBE
Structure: relaxed

The structure in extended XYZ format:
```
7
Lattice="7.392 -1.841 0.000 7.392 1.841 0.000 -4.946 0.000 8.547" Properties=species:S:1:pos:R:3 pbc="T T T"
Te 0.000 0.000 0.000
Te 0.410 0.000 6.172
Te 9.429 0.000 2.375
S 0.253 0.000 2.704
S 9.586 0.000 5.843
Cl 4.001 0.000 2.126
Cl 5.838 0.000 6.421
```

Output
theoretical density = 3.70 g/cm3
uncorrected formation energy = -0.057 eV/atom
crystal system = monoclinic
magnetization = 0.00 μB per formula unit


Compound: LiTlRe2
Source: the Alexandria database
Functional: PBE
Structure: relaxed

The structure in extended XYZ format:
```
4
Lattice="3.030 0.000 0.000 0.000 4.924 0.000 -0.303 0.000 4.616" Properties=species:S:1:pos:R:3 pbc="T T T"
Li 0.000 0.000 0.000
Tl 1.364 0.000 2.308
Re 0.828 2.462 0.981
Re 1.899 2.462 3.635
```

Output
theoretical density = 14.07 g/cm3
excess energy over the best structure of this formula in the dataset = 7.785 kcal/mol of atoms
E_form = 608 meV per atom
crystal system = monoclinic
magnetization = 0.00 μB per formula unit


Compound: Sc2PbF2
Source: the Alexandria database
Functional: PBE
Structure: relaxed

The structure in extended XYZ format:
```
5
Lattice="-1.837 1.837 6.221 1.837 -1.837 6.221 1.837 1.837 -6.221" Properties=species:S:1:pos:R:3 pbc="T T T"
Sc 0.000 0.000 1.732
Sc 0.000 0.000 10.710
Pb 0.000 0.000 6.221
F 1.837 0.000 3.111
F 0.000 1.837 3.111
```

Output
theoretical density = 6.63 g/cm3
uncorrected formation energy = -2.181 eV/atom
crystal system = tetragonal
magnetization = 0.27 μB per formula unit


Compound: CeThTcAg
Source: the Alexandria database
Functional: PBE
Structure: relaxed

The structure in extended XYZ format:
```
4
Lattice="0.000 3.610 3.610 3.610 0.000 3.610 3.610 3.610 0.000" Properties=species:S:1:pos:R:3 pbc="T T T"
Ce 0.000 0.000 0.000
Th 3.610 3.610 3.610
Tc 1.805 1.805 1.805
Ag 5.415 5.415 5.415
```

Output
theoretical density = 10.20 g/cm3
E_form = -9 meV per atom
crystal system = cubic
magnetization = 0.51 μB per formula unit